(1)
Density functional theory data (GGA-PBE) for an optimized crystal structure of Li2Cu2Au7.

```
Li2Cu2Au7
1.0
6.675 0.687 0.991
0.082 5.157 0.736
0.082 -1.122 5.087
Au Li Cu
7 2 2
direct
0.000 0.000 0.000 Au
0.431 0.819 0.819 Au
0.198 0.479 0.094 Au
0.198 0.094 0.479 Au
0.802 0.906 0.521 Au
0.802 0.521 0.906 Au
0.569 0.181 0.181 Au
0.500 0.304 0.696 Li
0.500 0.696 0.304 Li
0.860 0.391 0.391 Cu
0.140 0.609 0.609 Cu
```

Properties
* energy of formation from the pure elements: -0.19 eV/atom
* density of states at the Fermi level: 0.170 states/eV per atom

(2)
Density functional theory data (GGA-PBE) for an optimized crystal structure of Li8Cu2Au.

```
Li8Cu2Au
1.0
-3.525 1.921 0.513
0.338 -0.953 5.894
5.050 5.267 -0.986
Li Au Cu
8 1 2
direct
0.684 0.908 0.367 Li
0.401 0.547 0.802 Li
0.316 0.092 0.633 Li
0.599 0.453 0.198 Li
0.050 0.743 0.100 Li
0.950 0.257 0.900 Li
0.138 0.193 0.276 Li
0.862 0.807 0.724 Li
0.500 0.000 0.000 Au
0.229 0.618 0.457 Cu
0.771 0.382 0.543 Cu
```

Properties
* energy of formation from the pure elements: -0.15 eV/atom
* density of states at the Fermi level: 0.357 states/eV per atom

(3)
Density functional theory data (GGA-PBE) for an optimized crystal structure of LiCu2Au.

```
LiCu2Au
1.0
4.016 -0.520 1.420
0.704 -1.787 3.838
1.692 -3.935 0.257
Cu Au Li
2 1 1
direct
0.750 0.750 0.750 Cu
0.250 0.250 0.250 Cu
0.500 0.500 0.500 Au
0.000 0.000 0.000 Li
```

Properties
* energy of formation from the pure elements: -0.16 eV/atom
* density of states at the Fermi level: 0.282 states/eV per atom
* excess energy over the best structure of this formula in the dataset: 0.18 eV/f.u.

Number 1: size of the total moment 0.0 μB/cell. Number 2: size of the total moment 0.0 μB/cell. Number 3: size of the total moment 0.0 μB/cell.